1.
Material: BeNiBOs
Method: DFT, GGA-PBE
State: optimized geometry

Calculated values
Total magnetization, μB/f.u.: 0.002
Space group: F-43m
Relative energy among the computed polymorphs, eV per atom: 0.327
Calculated volume, Å³/cell: 41

Cell and atoms, written as POSCAR:
```
BeNiBOs
1.0
-1.291 -3.647 -0.232
-1.136 -1.861 3.204
-3.756 -0.766 0.567
Ni Os B Be
1 1 1 1
Cartesian
-4.637 -4.705 2.655
-3.091 -3.136 1.770
0.000 0.000 0.000
-1.546 -1.568 0.885
```


2.
Material: MgZnPO
Method: DFT, GGA-PBE
State: optimized geometry

Calculated values
Space group: Pmc2_1
Calculated total energy, eV per cell: -34.47
Calculated volume, Å³/cell: 128

Cell and atoms, written as POSCAR:
```
MgZnPO
1.0
-0.450 2.190 -2.172
-6.761 -0.222 1.178
0.585 4.241 4.153
Zn P O Mg
2 2 2 2
Cartesian
-0.687 3.359 1.292
-6.185 1.068 0.122
-3.927 3.595 4.437
-2.096 1.544 1.991
-0.629 4.784 2.716
-5.849 2.502 1.498
-1.421 3.985 4.311
-4.516 1.773 2.723
```


3.
Material: La2NdP3
Method: DFT, GGA-PBE
State: optimized geometry

Calculated values
Total magnetization, μB/f.u.: 0.006
Space group: P-3m1
Calculated total energy, eV per cell: -40.23
Calculated volume, Å³/cell: 161

Cell and atoms, written as POSCAR:
```
La2NdP3
1.0
-2.645 -3.152 -1.008
4.089 -0.822 0.740
-2.112 -1.447 10.060
P La Nd
3 2 1
Cartesian
-1.800 -3.334 6.242
1.133 -2.086 3.549
0.000 0.000 0.000
-0.758 -2.620 1.277
0.090 -2.800 8.515
-1.056 -0.723 5.030
```